Te6IrPt2, relaxed, DFT PBE-GGA; M_tot = 0.00 μB/f.u.; E_form (uncorrected) = -0.3432 eV per atom; raw total energy = -4.76 eV per atom
1.0
6.0106 -2.0401 0.0000
6.0106 2.0401 0.0000
-5.4383 0.0000 10.4352
Te Ir Pt
6 1 2
Cartesian
-1.2299 0.0000 2.3615
7.8128 0.0000 8.0738
1.6155 0.0000 4.5439
-0.8183 0.0000 9.3738
7.4012 0.0000 1.0614
4.9675 0.0000 5.8914
0.0000 0.0000 0.0000
0.3901 0.0000 6.9592
6.1929 0.0000 3.4760

---

La4HoEr5, relaxed, DFT PBE-GGA; calculated formation energy = 2.3 eV/f.u.; M_tot = 0.00 μB/f.u.; energy relative to the lowest polymorph listed for this composition = 32.0 meV per atom; raw total energy = -4.48 eV per atom
1.0
-5.3887 5.3887 2.9928
5.3887 -5.3887 2.9928
5.3887 5.3887 -2.9928
La Ho Er
4 1 5
Cartesian
3.4692 0.0000 0.0000
7.3082 0.0000 0.0000
0.0000 3.4692 0.0000
0.0000 7.3082 0.0000
0.0000 0.0000 4.4936
0.0000 0.0000 1.3917
3.3599 3.3599 -0.0519
2.0288 -2.0288 2.9408
-2.0288 2.0288 2.9408
2.0288 2.0288 2.9408

---

Tm6SiTe3Se2, relaxed, DFT PBE-GGA; M_tot = 0.00 μB/f.u.; E_form (uncorrected) = -1.3667 eV per atom; raw total energy = -5.42 eV per atom
1.0
3.5835 -6.2026 0.0000
3.5835 6.2026 0.0000
-2.3785 0.0000 6.9723
Tm Si Te Se
6 1 3 2
Cartesian
1.1486 1.9893 1.4953
-0.0886 0.0000 5.4588
1.1486 -1.9893 1.4953
3.6400 1.9893 5.4770
4.8771 0.0000 1.5135
3.6400 -1.9893 5.4770
0.0000 0.0000 0.0000
2.3943 4.0850 3.4861
2.3943 0.0000 3.4861
2.3943 -4.0850 3.4861
3.5835 2.0579 0.0000
3.5835 -2.0579 0.0000

---

Sc8GeP3Se4, relaxed, DFT PBE-GGA; M_tot = 0.00 μB/f.u.; E_form (uncorrected) = -1.5398 eV per atom; raw total energy = -6.88 eV per atom
1.0
3.8194 2.2051 6.3337
-3.8194 2.2051 6.3337
0.0000 -4.4102 6.3337
Sc Ge P Se
8 1 3 4
Cartesian
-1.9289 -1.1136 10.9594
0.0000 0.0000 4.5938
0.0000 -2.2273 8.0417
-1.9289 1.1136 8.0417
1.9289 -1.1136 10.9594
0.0000 2.2273 10.9594
0.0000 0.0000 14.4072
1.9289 1.1136 8.0417
0.0000 0.0000 9.5005
-3.8194 0.0000 9.5005
-1.9097 1.1026 3.1668
1.9097 1.1026 3.1668
0.0000 0.0000 0.0000
-1.9097 -1.1026 6.3337
-1.9097 1.1026 12.6673
0.0000 2.2051 6.3337

---

Cd12In2Ag7, relaxed, DFT PBE-GGA; calculated formation energy = 0.0 eV/f.u.; M_tot = 0.00 μB/f.u.; raw total energy = -1.74 eV per atom
1.0
12.8322 0.0000 0.0000
-6.4161 11.1130 0.0000
0.0000 0.0000 3.0654
Cd In Ag
12 2 7
Cartesian
-1.0047 2.9666 0.0000
-3.1174 7.9079 1.5327
-3.3445 10.4998 0.0000
1.1263 4.4593 1.5327
4.3075 1.7293 1.5327
3.8595 4.4854 0.0000
7.0179 1.0998 0.0000
1.9911 9.8588 1.5327
4.3493 8.7595 0.0000
5.7600 6.5179 1.5327
9.1808 2.8657 1.5327
8.3707 5.5278 0.0000
0.0000 0.0000 1.5327
0.0000 7.4087 0.0000
-1.7985 5.3858 1.5327
1.7752 1.9870 0.0000
-0.8526 9.9776 1.5327
2.6511 6.8626 1.5327
6.4161 3.7043 1.5327
10.2238 0.5439 0.0000
7.2492 8.5821 0.0000

---

MgPaTlPd, relaxed, DFT PBE-GGA; calculated formation energy = -0.5 eV/f.u.; M_tot = 0.28 μB/f.u.; raw total energy = -4.80 eV per atom
1.0
0.0000 3.5499 3.5499
3.5499 0.0000 3.5499
3.5499 3.5499 0.0000
Mg Pa Tl Pd
1 1 1 1
Cartesian
0.0000 0.0000 0.0000
3.5499 3.5499 3.5499
1.7749 1.7749 1.7749
5.3248 5.3248 5.3248

---

Li2Ag2Pd2Pt, relaxed, DFT PBE-GGA; calculated formation energy = -1.8 eV/f.u.; M_tot = 0.00 μB/f.u.; raw total energy = -3.97 eV per atom
1.0
4.3251 -2.0140 0.0000
4.3251 2.0140 0.0000
-1.1183 0.0000 6.2106
Li Ag Pd Pt
2 2 2 1
Cartesian
1.6328 0.0000 0.9256
5.8992 0.0000 5.2850
-0.1413 0.0000 4.4951
7.6733 0.0000 1.7155
2.4556 0.0000 3.5669
5.0764 0.0000 2.6437
4.3251 0.0000 0.0000

---

Nd9SmMg2, relaxed, DFT PBE-GGA; calculated formation energy = 0.0 eV/f.u.; M_tot = 0.00 μB/f.u.; raw total energy = -4.23 eV per atom
1.0
5.0848 0.0000 0.0000
0.0000 5.0848 0.0000
0.0000 0.0000 15.3229
Nd Sm Mg
9 1 2
Cartesian
0.0000 0.0000 0.0000
0.0000 0.0000 5.1568
0.0000 0.0000 10.1661
0.0000 2.5424 2.6200
0.0000 2.5424 7.6614
0.0000 2.5424 12.7029
2.5424 0.0000 2.6200
2.5424 0.0000 7.6614
2.5424 0.0000 12.7029
2.5424 2.5424 0.0000
2.5424 2.5424 5.1660
2.5424 2.5424 10.1568

---

EuMgZnPt, relaxed, DFT PBE-GGA; calculated formation energy = -2.0 eV/f.u.; M_tot = 7.10 μB/f.u.; raw total energy = -5.29 eV per atom
1.0
0.0000 3.4694 3.4694
3.4694 0.0000 3.4694
3.4694 3.4694 0.0000
Eu Mg Zn Pt
1 1 1 1
Cartesian
0.0000 0.0000 0.0000
3.4694 3.4694 3.4694
1.7347 1.7347 1.7347
5.2040 5.2040 5.2040

---

Question: The highest M_tot belongs to which entry?
Answer: EuMgZnPt

---

Question: M_tot of number 2 (La4HoEr5)?
Answer: 0.00 μB/f.u.

---

Question: Which of these has the highest raw total energy?
Answer: Cd12In2Ag7

---

Question: The highest M_tot belongs to which entry?
Answer: EuMgZnPt